Entry 1:
TaCuPb2: optimized geometry, GGA-PBE.

Structure (POSCAR):
```
TaCuPb2
1.0
-0.3685 2.4395 -2.2431
-2.8134 -2.1082 -1.8307
-4.4355 2.7189 3.6855
Cu Ta Pb
1 1 2
direct
0.5000 0.5000 0.7500
0.5000 0.5000 0.2500
0.0000 0.0000 0.5078
0.0000 0.0000 0.9922
```

Calculated values
**SG**: Pmmm, No. 47

***

Entry 2:
TaCuPb2: optimized geometry, GGA-PBE.

Structure (POSCAR):
```
TaCuPb2
1.0
-1.8835 1.4662 -2.0400
-3.3786 -4.5558 -0.1550
-2.6584 1.8429 3.7790
Pb Cu Ta
2 1 1
direct
0.0000 0.0000 0.0000
0.5000 0.5000 0.0000
0.0000 0.5000 0.5000
0.5000 0.0000 0.5000
```

Calculated values
**SG**: Pmmm, No. 47

***

Entry 3:
TaCuPb2: optimized geometry, GGA-PBE.

Structure (POSCAR):
```
TaCuPb2
1.0
-0.0502 3.3101 4.2870
1.2753 -2.7014 4.5182
2.3649 0.3370 -4.8612
Ta Cu Pb
1 1 2
direct
0.7500 0.2500 0.5000
0.2500 0.7500 0.5000
0.9999 0.9999 0.0000
0.5001 0.5001 0.0000
```

Calculated values
**SG**: I4/mmm, No. 139

***

| no. | energy relative to the elements (eV/f.u.) | polymorph energy (0 for the lowest one) (meV/atom) |
| --- | --- | --- |
| 1 | 2.33 | 306 |
| 2 | 2.76 | 413 |
| 3 | 2.60 | 375 |